6
Lattice="0.000 3.816 3.816 3.816 0.000 3.816 3.816 3.816 0.000" Properties=species:S:1:pos:R:3 comment="SrInTc4, relaxed, DFT PBE-GGA" dft_energy_ev_per_cell=-43.37 vol_a3_per_cell=111.1 pbc="T T T"
Sr 0.000 0.000 0.000
In 1.908 1.908 1.908
Tc 4.762 2.870 2.870
Tc 2.870 4.762 2.870
Tc 2.870 2.870 4.762
Tc 4.762 4.762 4.762